No. 1
A relaxed structure of BeCoPt2. Source: Alexandria, functional PBE.

```
BeCoPt2
1.0
2.758 -3.390 0.000
2.758 3.390 0.000
0.000 0.000 2.742
Be Co Pt
1 1 2
direct
0.000 0.000 0.000
0.500 0.500 0.000
0.000 0.500 0.500
0.500 0.000 0.500
```

uncorrected energy: -6.04 eV/atom
SG: Cmmm (65)
volume: 51.27 Å³/cell
calculated formation energy: -0.3126 eV/atom

***

No. 2
A relaxed structure of Be5Co4Pt. Source: Alexandria, functional PBE.

```
Be5Co4Pt
1.0
2.671 0.000 0.000
0.000 2.671 0.000
0.000 0.000 13.067
Be Co Pt
5 4 1
direct
0.000 0.000 0.000
0.000 0.000 0.193
0.000 0.000 0.382
0.000 0.000 0.618
0.000 0.000 0.807
0.500 0.500 0.096
0.500 0.500 0.288
0.500 0.500 0.712
0.500 0.500 0.904
0.500 0.500 0.500
```

uncorrected energy: -5.70 eV/atom
SG: P4/mmm (123)
volume: 93.26 Å³/cell
calculated formation energy: -0.3931 eV/atom

***

No. 3
A relaxed structure of Be5CoPt4. Source: Alexandria, functional PBE.

```
Be5CoPt4
1.0
2.802 0.000 0.000
0.000 2.802 0.000
0.000 0.000 13.963
Be Co Pt
5 1 4
direct
0.000 0.000 0.000
0.000 0.000 0.209
0.000 0.000 0.418
0.000 0.000 0.582
0.000 0.000 0.791
0.500 0.500 0.500
0.500 0.500 0.103
0.500 0.500 0.309
0.500 0.500 0.691
0.500 0.500 0.897
```

uncorrected energy: -5.68 eV/atom
SG: P4/mmm (123)
volume: 109.61 Å³/cell
calculated formation energy: -0.6924 eV/atom